1.
The following is a PBE-GGA calculation of a relaxed Y2Zr2Ni crystal, from Alexandria.

a = 6.803 Å, b = 6.803 Å, c = 5.270 Å
α = 90.00°, β = 90.00°, γ = 90.00°
Space group P4/mbm (No. 127)
Asymmetric unit:
Y1 0.167 0.333 0.000 x4
Zr1 0.150 0.650 0.500 x4
Ni1 0.000 0.000 0.500 x2

Output
Raw total energy, eV per cell: -71.19

***

2.
The following is a PBE-GGA calculation of a relaxed YZr3Ni crystal, from Alexandria.

a = 4.971 Å, b = 4.971 Å, c = 4.971 Å
α = 90.00°, β = 90.00°, γ = 90.00°
Space group Pm-3m (No. 221)
Asymmetric unit:
Y1 0.000 0.000 0.000 x1
Zr1 0.000 0.500 0.500 x3
Ni1 0.500 0.500 0.500 x1

Output
Energy above the lowest structure with this stoichiometry, meV/atom: 0.0
Raw total energy, eV per cell: -37.22

***

3.
The following is a PBE-GGA calculation of a relaxed YZrNi2 crystal, from Alexandria.

a = 3.443 Å, b = 3.443 Å, c = 6.459 Å
α = 90.00°, β = 90.00°, γ = 90.00°
Space group P4mm (No. 99)
Asymmetric unit:
Y1 0.000 0.000 0.000 x1
Zr1 0.500 0.500 0.395 x1
Ni1 0.000 0.000 0.555 x1
Ni2 0.500 0.500 0.782 x1

Output
Raw total energy, eV per cell: -27.14

***

4.
The following is a PBE-GGA calculation of a relaxed Y2ZrNi2 crystal, from Alexandria.

a = 6.801 Å, b = 6.801 Å, c = 4.518 Å
α = 90.00°, β = 90.00°, γ = 90.00°
Space group P4/mbm (No. 127)
Asymmetric unit:
Y1 0.175 0.325 0.000 x4
Zr1 0.000 0.000 0.500 x2
Ni1 0.127 0.627 0.500 x4

Output
Energy above the lowest structure with this stoichiometry, meV/atom: 34.6
Raw total energy, eV per cell: -68.96

***

5.
The following is a PBE-GGA calculation of a relaxed Y2ZrNi crystal, from Alexandria.

a = 3.486 Å, b = 5.154 Å, c = 10.636 Å
α = 90.00°, β = 90.00°, γ = 90.00°
Space group Imm2 (No. 44)
Asymmetric unit:
Y1 0.000 0.000 0.000 x2
Y2 0.000 0.500 0.206 x2
Zr1 0.000 0.000 0.402 x2
Ni1 0.000 0.500 0.721 x2

Output
Energy above the lowest structure with this stoichiometry, meV/atom: 4.4
Raw total energy, eV per cell: -55.44

***

6.
The following is a PBE-GGA calculation of a relaxed Y2ZrNi crystal, from Alexandria.

a = 7.204 Å, b = 7.204 Å, c = 7.204 Å
α = 90.00°, β = 90.00°, γ = 90.00°
Space group Fm-3m (No. 225)
Asymmetric unit:
Y1 0.250 0.250 0.250 x8
Zr1 0.000 0.000 0.000 x4
Ni1 0.000 0.000 0.500 x4

Output
Energy above the lowest structure with this stoichiometry, meV/atom: 335.8
Raw total energy, eV per cell: -105.57

***

7.
The following is a PBE-GGA calculation of a relaxed YbNi crystal, from Alexandria.

a = 7.369 Å, b = 4.021 Å, c = 5.394 Å
α = 90.00°, β = 90.00°, γ = 90.00°
Space group Pnma (No. 62)
Asymmetric unit:
Yb1 0.180 0.250 0.118 x4
Ni1 0.028 0.250 0.598 x4

Output
Raw total energy, eV per cell: -31.85

***

8.
The following is a PBE-GGA calculation of a relaxed YbNi6 crystal, from Alexandria.

a = 6.226 Å, b = 6.226 Å, c = 6.226 Å
α = 90.00°, β = 90.00°, γ = 90.00°
Space group Im-3m (No. 229)
Asymmetric unit:
Yb1 0.000 0.000 0.000 x2
Ni1 0.000 0.250 0.500 x12

Output
Raw total energy, eV per cell: -66.09

***

9.
The following is a PBE-GGA calculation of a relaxed Yb4Ni crystal, from Alexandria.

a = 11.097 Å, b = 11.097 Å, c = 11.097 Å
α = 90.00°, β = 90.00°, γ = 90.00°
Space group Fd-3m (No. 227, origin choice 2)
Asymmetric unit:
Yb1 0.009 0.009 0.241 x32
Ni1 0.125 0.125 0.625 x8

Output
Raw total energy, eV per cell: -90.12

***

10.
The following is a PBE-GGA calculation of a relaxed Yb3Ni crystal, from Alexandria.

a = 7.406 Å, b = 9.377 Å, c = 6.318 Å
α = 90.00°, β = 90.00°, γ = 90.00°
Space group Pnma (No. 62)
Asymmetric unit:
Yb1 0.039 0.250 0.141 x4
Yb2 0.174 0.065 0.660 x8
Ni1 0.122 0.750 0.448 x4

Output
Raw total energy, eV per cell: -45.46

***

11.
The following is a PBE-GGA calculation of a relaxed YbNi5 crystal, from Alexandria.

a = 4.9088 Å, b = 4.9088 Å, c = 3.9396 Å
α = 90.00°, β = 90.00°, γ = 120.00°
Space group P6/mmm (No. 191)
Asymmetric unit:
Yb1 0.0000 0.0000 0.0000 x1
Ni1 0.0000 0.5000 0.5000 x3
Ni2 0.3333 0.6667 0.0000 x2

Output
Raw total energy, eV per cell: -31.57

***

12.
The following is a PBE-GGA calculation of a relaxed Zn3Ni2 crystal, from Alexandria.

a = 4.0650 Å, b = 4.0650 Å, c = 4.9127 Å
α = 90.00°, β = 90.00°, γ = 120.00°
Space group P-3m1 (No. 164)
Asymmetric unit:
Zn1 0.0000 0.0000 0.0000 x1
Zn2 0.3333 0.6667 0.3619 x2
Ni1 0.3333 0.6667 0.8635 x2

Output
Raw total energy, eV per cell: -16.00

***

13.
The following is a PBE-GGA calculation of a relaxed Zn5Ni3 crystal, from Alexandria.

a = 7.1939 Å, b = 7.1939 Å, c = 4.7458 Å
α = 90.00°, β = 90.00°, γ = 120.00°
Space group P6_3/mcm (No. 193)
Asymmetric unit:
Zn1 0.0000 0.2425 0.2500 x6
Zn2 0.3333 0.6667 0.0000 x4
Ni1 0.0000 0.3974 0.7500 x6

Output
Energy above the lowest structure with this stoichiometry, meV/atom: 101.8
Raw total energy, eV per cell: -48.91